#A
# In2Hg2C

In2Hg2C after structural relaxation (PBE, the Alexandria database).

Summary:
Space group: No. 139
DOS at the Fermi energy, states/eV per cell: 3.16
Crystal system: tetragonal

```
In2Hg2C
1.0
-2.121 2.121 7.470
2.121 -2.121 7.470
2.121 2.121 -7.470
In Hg C
2 2 1
direct
0.250 0.750 0.500 In
0.750 0.250 0.500 In
0.092 0.092 0.000 Hg
0.908 0.908 0.000 Hg
0.500 0.500 0.000 C
```


#B
# In2Hg2C

In2Hg2C after structural relaxation (PBE, the Alexandria database).

Summary:
Space group: No. 127
DOS at the Fermi energy, states/eV per cell: 4.93
Crystal system: tetragonal

```
In2Hg2C
1.0
6.286 0.000 0.000
0.000 6.286 0.000
0.000 0.000 6.401
In Hg C
4 4 2
direct
0.192 0.308 0.000 In
0.308 0.808 0.000 In
0.692 0.192 0.000 In
0.808 0.692 0.000 In
0.228 0.272 0.500 Hg
0.272 0.772 0.500 Hg
0.728 0.228 0.500 Hg
0.772 0.728 0.500 Hg
0.000 0.000 0.500 C
0.500 0.500 0.500 C
```


Quick one: most stable of them? #B


#A
# Hg2PIrC

Hg2PIrC after structural relaxation (PBE, the Alexandria database).

Summary:
Space group: No. 1
DOS at the Fermi energy, states/eV per cell: 1.50
Crystal system: triclinic

```
Hg2PIrC
1.0
4.259 0.000 0.000
-2.129 4.425 0.000
-0.055 -0.550 5.599
Hg P Ir C
2 1 1 1
direct
0.000 0.000 0.000 Hg
0.293 0.588 0.775 Hg
0.700 0.399 0.355 P
0.299 0.598 0.283 Ir
0.511 0.018 0.337 C
```


#B
# Hg2PIrC

Hg2PIrC after structural relaxation (PBE, the Alexandria database).

Summary:
Space group: No. 1
DOS at the Fermi energy, states/eV per cell: 2.24
Crystal system: triclinic

```
Hg2PIrC
1.0
2.863 0.000 0.000
0.002 4.833 0.000
1.426 1.809 7.486
Hg P Ir C
2 1 1 1
direct
0.000 0.000 0.000 Hg
0.389 0.430 0.210 Hg
0.732 0.853 0.527 P
0.189 0.201 0.615 Ir
0.690 0.489 0.612 C
```


#C
# Hg2PIrC

Hg2PIrC after structural relaxation (PBE, the Alexandria database).

Summary:
Space group: No. 8
DOS at the Fermi energy, states/eV per cell: 1.74
Crystal system: monoclinic

```
Hg2PIrC
1.0
4.529 -1.641 0.000
4.529 1.641 0.000
-2.425 0.000 6.388
Hg P Ir C
2 1 1 1
direct
0.000 0.000 0.000 Hg
0.204 0.204 0.768 Hg
0.590 0.590 0.333 P
0.857 0.857 0.535 Ir
0.440 0.440 0.451 C
```


Quick one: most stable of them? #B


#A
# La3HgC

La3HgC after structural relaxation (PBE, the Alexandria database).

Summary:
Space group: No. 62
DOS at the Fermi energy, states/eV per cell: 21.92
Crystal system: orthorhombic

```
La3HgC
1.0
9.103 0.000 0.000
0.000 3.826 0.000
0.000 0.000 15.855
La Hg C
12 4 4
direct
0.030 0.250 0.097 La
0.174 0.250 0.499 La
0.217 0.750 0.304 La
0.283 0.250 0.804 La
0.326 0.750 0.999 La
0.470 0.750 0.597 La
0.530 0.250 0.403 La
0.674 0.250 0.001 La
0.717 0.750 0.196 La
0.783 0.250 0.696 La
0.826 0.750 0.501 La
0.970 0.750 0.903 La
0.086 0.750 0.671 Hg
0.414 0.250 0.171 Hg
0.586 0.750 0.829 Hg
0.914 0.250 0.329 Hg
0.153 0.250 0.946 C
0.347 0.750 0.446 C
0.653 0.250 0.554 C
0.847 0.750 0.054 C
```


#B
# La3HgC

La3HgC after structural relaxation (PBE, the Alexandria database).

Summary:
Space group: No. 221
DOS at the Fermi energy, states/eV per cell: 8.05
Crystal system: cubic

```
La3HgC
1.0
5.213 0.000 0.000
0.000 5.213 0.000
0.000 0.000 5.213
La Hg C
3 1 1
direct
0.000 0.000 0.500 La
0.000 0.500 0.000 La
0.500 0.000 0.000 La
0.500 0.500 0.500 Hg
0.000 0.000 0.000 C
```


Quick one: most stable of them? #A


#A
# La4HgC

La4HgC after structural relaxation (PBE, the Alexandria database).

Summary:
Space group: No. 15
DOS at the Fermi energy, states/eV per cell: 11.71
Crystal system: monoclinic

```
La4HgC
1.0
4.365 -6.080 0.000
4.365 6.080 0.000
-1.643 0.000 6.472
La Hg C
8 2 2
direct
0.035 0.753 0.962 La
0.195 0.381 0.588 La
0.247 0.965 0.538 La
0.381 0.195 0.088 La
0.619 0.805 0.912 La
0.753 0.035 0.462 La
0.805 0.619 0.412 La
0.965 0.247 0.038 La
0.366 0.634 0.250 Hg
0.634 0.366 0.750 Hg
0.002 0.998 0.250 C
0.998 0.002 0.750 C
```


#B
# La4HgC

La4HgC after structural relaxation (PBE, the Alexandria database).

Summary:
Space group: No. 15
DOS at the Fermi energy, states/eV per cell: 13.95
Crystal system: monoclinic

```
La4HgC
1.0
4.373 -7.526 0.000
4.373 7.526 0.000
-3.075 0.000 5.637
La Hg C
8 2 2
direct
0.070 0.671 0.873 La
0.168 0.263 0.677 La
0.263 0.168 0.177 La
0.329 0.930 0.627 La
0.671 0.070 0.373 La
0.737 0.832 0.823 La
0.832 0.737 0.323 La
0.930 0.329 0.127 La
0.384 0.616 0.250 Hg
0.616 0.384 0.750 Hg
0.077 0.923 0.750 C
0.923 0.077 0.250 C
```


Quick one: most stable of them? #B


#A
# LaHgC3

LaHgC3 after structural relaxation (PBE, the Alexandria database).

Summary:
Space group: No. 221
DOS at the Fermi energy, states/eV per cell: 6.05
Crystal system: cubic

```
LaHgC3
1.0
4.644 0.000 0.000
0.000 4.644 0.000
0.000 0.000 4.644
La Hg C
1 1 3
direct
0.000 0.000 0.000 La
0.500 0.500 0.500 Hg
0.000 0.000 0.500 C
0.000 0.500 0.000 C
0.500 0.000 0.000 C
```


#B
# LaHgC3

LaHgC3 after structural relaxation (PBE, the Alexandria database).

Summary:
Space group: No. 221
DOS at the Fermi energy, states/eV per cell: 3.98
Crystal system: cubic

```
LaHgC3
1.0
4.343 0.000 0.000
0.000 4.343 0.000
0.000 0.000 4.343
La Hg C
1 1 3
direct
0.000 0.000 0.000 La
0.500 0.500 0.500 Hg
0.000 0.500 0.500 C
0.500 0.000 0.500 C
0.500 0.500 0.000 C
```


Quick one: most stable of them? #B


#A
# La2MgHgC

La2MgHgC after structural relaxation (PBE, the Alexandria database).

Summary:
Space group: No. 123
DOS at the Fermi energy, states/eV per cell: 3.20
Crystal system: tetragonal

```
La2MgHgC
1.0
5.329 0.000 0.000
0.000 5.329 0.000
0.000 0.000 4.375
La Mg Hg C
2 1 1 1
direct
0.000 0.500 0.000 La
0.500 0.000 0.000 La
0.000 0.000 0.500 Mg
0.500 0.500 0.500 Hg
0.000 0.000 0.000 C
```


#B
# La2MgHgC

La2MgHgC after structural relaxation (PBE, the Alexandria database).

Summary:
Space group: No. 123
DOS at the Fermi energy, states/eV per cell: 5.45
Crystal system: tetragonal

```
La2MgHgC
1.0
5.889 0.000 0.000
0.000 5.889 0.000
0.000 0.000 4.956
La Mg Hg C
2 1 1 1
direct
0.000 0.500 0.000 La
0.500 0.000 0.000 La
0.000 0.000 0.500 Mg
0.000 0.000 0.000 Hg
0.500 0.500 0.500 C
```


Quick one: most stable of them? #A


#A
# Li3HgC

Li3HgC after structural relaxation (PBE, the Alexandria database).

Summary:
Space group: No. 221
DOS at the Fermi energy, states/eV per cell: 1.74
Crystal system: cubic

```
Li3HgC
1.0
4.146 0.000 0.000
0.000 4.146 0.000
0.000 0.000 4.146
Li Hg C
3 1 1
direct
0.000 0.000 0.500 Li
0.000 0.500 0.000 Li
0.500 0.000 0.000 Li
0.500 0.500 0.500 Hg
0.000 0.000 0.000 C
```


#B
# Li3HgC

Li3HgC after structural relaxation (PBE, the Alexandria database).

Summary:
Space group: No. 221
DOS at the Fermi energy, states/eV per cell: 1.25
Crystal system: cubic

```
Li3HgC
1.0
4.885 0.000 0.000
0.000 4.885 0.000
0.000 0.000 4.885
Li Hg C
3 1 1
direct
0.000 0.000 0.500 Li
0.000 0.500 0.000 Li
0.500 0.000 0.000 Li
0.000 0.000 0.000 Hg
0.500 0.500 0.500 C
```


Quick one: most stable of them? #A


#A
# LiHgC3

LiHgC3 after structural relaxation (PBE, the Alexandria database).

Summary:
Space group: No. 221
DOS at the Fermi energy, states/eV per cell: 2.72
Crystal system: cubic

```
LiHgC3
1.0
3.871 0.000 0.000
0.000 3.871 0.000
0.000 0.000 3.871
Li Hg C
1 1 3
direct
0.000 0.000 0.000 Li
0.500 0.500 0.500 Hg
0.000 0.000 0.500 C
0.000 0.500 0.000 C
0.500 0.000 0.000 C
```


#B
# LiHgC3

LiHgC3 after structural relaxation (PBE, the Alexandria database).

Summary:
Space group: No. 221
DOS at the Fermi energy, states/eV per cell: 2.94
Crystal system: cubic

```
LiHgC3
1.0
4.379 0.000 0.000
0.000 4.379 0.000
0.000 0.000 4.379
Li Hg C
1 1 3
direct
0.000 0.000 0.000 Li
0.500 0.500 0.500 Hg
0.000 0.500 0.500 C
0.500 0.000 0.500 C
0.500 0.500 0.000 C
```


Quick one: most stable of them? #A